[1]
First-principles (GGA-PBE) data for an optimized crystal structure of Dy4ScS7, as listed in the Alexandria database.

Cell and atoms, written as POSCAR:
```
Dy4ScS7
1.0
6.3269 -1.8869 0.0000
6.3269 1.8869 0.0000
-2.9308 0.0000 11.1135
Dy Sc S
4 1 7
Direct
0.0000 0.0000 0.0000
0.1897 0.1897 0.7639
0.5867 0.5867 0.3753
0.8876 0.8876 0.5687
0.7775 0.7775 0.1493
0.1566 0.1566 0.2180
0.2267 0.2267 0.5190
0.3838 0.3838 0.0777
0.5480 0.5480 0.6229
0.6329 0.6329 0.9314
0.8496 0.8496 0.7875
0.9249 0.9249 0.3490
```

Properties
The value obtained for the total energy is -78.2 eV for the cell shown. The energy relative to the elements, uncorrected is -24.56 eV/f.u. Its calculated density is 5.75 g cm⁻³. The total moment is 0.0 μB/cell. For the density of states at the Fermi level, the calculation gives 1.41 states/eV/cell.



[2]
First-principles (GGA-PBE) data for an optimized crystal structure of CeMgMn, as listed in the Alexandria database.

Cell and atoms, written as POSCAR:
```
CeMgMn
1.0
3.1186 0.0000 0.0000
0.0000 3.1186 0.0000
0.0000 0.0000 13.1330
Ce Mg Mn
2 2 2
Direct
0.0000 0.0000 0.0000
0.5000 0.5000 0.5000
0.0000 0.0000 0.7076
0.5000 0.5000 0.2076
0.0000 0.0000 0.3449
0.5000 0.5000 0.8449
```

Properties
The value obtained for the total energy is -32.3 eV for the cell shown. The value obtained for the formation energy from the elements is 0.181 eV per atom. Its calculated density is 5.70 g cm⁻³. The total moment is 4.5 μB/cell. For the density of states at the Fermi level, the calculation gives 11.22 states/eV/cell.



[3]
First-principles (GGA-PBE) data for an optimized crystal structure of SmDyHoSn, as listed in the Alexandria database.

Cell and atoms, written as POSCAR:
```
SmDyHoSn
1.0
7.6837 0.0000 0.0000
0.0000 7.6837 0.0000
0.0000 0.0000 7.6837
Sm Dy Ho Sn
4 4 4 4
Direct
0.0000 0.0000 0.0000
0.0000 0.5000 0.5000
0.5000 0.0000 0.5000
0.5000 0.5000 0.0000
0.0000 0.0000 0.5000
0.0000 0.5000 0.0000
0.5000 0.0000 0.0000
0.5000 0.5000 0.5000
0.2500 0.2500 0.7500
0.2500 0.7500 0.2500
0.7500 0.2500 0.2500
0.7500 0.7500 0.7500
0.2500 0.2500 0.2500
0.2500 0.7500 0.7500
0.7500 0.2500 0.7500
0.7500 0.7500 0.2500
```

Properties
The value obtained for the total energy is -75.5 eV for the cell shown. The value obtained for the formation energy from the elements is -0.243 eV per atom. Its calculated density is 8.73 g cm⁻³. The total moment is 0.1 μB/cell. For the density of states at the Fermi level, the calculation gives 27.96 states/eV/cell.



[4]
First-principles (GGA-PBE) data for an optimized crystal structure of Sm2Fe5Co12, as listed in the Alexandria database.

Cell and atoms, written as POSCAR:
```
Sm2Fe5Co12
1.0
4.1950 2.4220 4.0875
-4.1950 2.4220 4.0875
0.0000 -4.8440 4.0875
Sm Fe Co
2 5 12
Direct
0.1571 0.1571 0.1571
0.8429 0.8429 0.8429
0.0000 0.5000 0.5000
0.4046 0.4046 0.4046
0.5000 0.0000 0.5000
0.5000 0.5000 0.0000
0.5954 0.5954 0.5954
0.1557 0.1557 0.6566
0.1557 0.6566 0.1557
0.2128 0.5000 0.7872
0.2128 0.7872 0.5000
0.3434 0.8443 0.8443
0.5000 0.2128 0.7872
0.5000 0.7872 0.2128
0.6566 0.1557 0.1557
0.7872 0.2128 0.5000
0.7872 0.5000 0.2128
0.8443 0.3434 0.8443
0.8443 0.8443 0.3434
```

Properties
The value obtained for the total energy is -138.4 eV for the cell shown. The value obtained for the formation energy from the elements is -0.074 eV per atom. Its calculated density is 8.58 g cm⁻³. The total moment is 29.4 μB/cell. For the density of states at the Fermi level, the calculation gives 19.48 states/eV/cell.



[5]
First-principles (GGA-PBE) data for an optimized crystal structure of CaZnBr2, as listed in the Alexandria database.

Cell and atoms, written as POSCAR:
```
CaZnBr2
1.0
8.5890 0.0000 0.0000
0.0000 8.5890 0.0000
0.0000 0.0000 10.3571
Ca Zn Br
4 4 8
Direct
0.0000 0.0000 0.0000
0.0000 0.5000 0.2500
0.5000 0.0000 0.7500
0.5000 0.5000 0.5000
0.0000 0.0000 0.5000
0.0000 0.5000 0.7500
0.5000 0.0000 0.2500
0.5000 0.5000 0.0000
0.1416 0.2500 0.1250
0.2500 0.6416 0.3750
0.2500 0.8584 0.8750
0.3584 0.2500 0.6250
0.6416 0.7500 0.6250
0.7500 0.1416 0.8750
0.7500 0.3584 0.3750
0.8584 0.7500 0.1250
```

Properties
The value obtained for the total energy is -44.6 eV for the cell shown. The energy relative to the elements, uncorrected is -4.54 eV/f.u. Its calculated density is 2.31 g cm⁻³. The total moment is 0.0 μB/cell. For the density of states at the Fermi level, the calculation gives 0.00 states/eV/cell.



[6]
First-principles (GGA-PBE) data for an optimized crystal structure of CuRh2Cl, as listed in the Alexandria database.

Cell and atoms, written as POSCAR:
```
CuRh2Cl
1.0
10.2611 0.0000 0.0000
0.0000 2.8189 0.0000
-1.9489 0.0000 4.0392
Cu Rh Cl
2 4 2
Direct
0.0000 0.0000 0.0000
0.5000 0.5000 0.0000
0.2381 0.0000 0.7400
0.4891 0.0000 0.4895
0.7381 0.5000 0.7400
0.9891 0.5000 0.4895
0.2665 0.5000 0.2681
0.7665 0.0000 0.2681
```

Properties
The value obtained for the total energy is -37.7 eV for the cell shown. The energy relative to the elements, uncorrected is 1.81 eV/f.u. Its calculated density is 8.66 g cm⁻³. The total moment is 0.0 μB/cell. For the density of states at the Fermi level, the calculation gives 8.96 states/eV/cell.



- Among the records above, which one has the lowest calculated density?
  CaZnBr2